Record 1
CeAlIr | PBE | relaxed

Unit cell a=4.3249 b=6.8923 c=7.9803 alpha=90.00 beta=90.00 gamma=90.00
Atoms (fractional coordinates):
Al  0.2500  0.3630  0.9383
Al  0.7500  0.1370  0.4383
Al  0.2500  0.8630  0.5617
Al  0.7500  0.6370  0.0617
Ir  0.7500  0.2623  0.1174
Ir  0.7500  0.7623  0.3826
Ir  0.2500  0.2377  0.6174
Ir  0.2500  0.7377  0.8826
Ce  0.7500  0.5357  0.6827
Ce  0.2500  0.4643  0.3173
Ce  0.7500  0.0357  0.8173
Ce  0.2500  0.9643  0.1827

Summary:
energy relative to the elements: -888 meV per atom

***

Record 2
Hg2Sb2Pb7 | PBE | relaxed

Unit cell a=4.2975 b=9.6040 c=9.6040 alpha=65.20 beta=77.07 gamma=77.07
Atoms (fractional coordinates):
Pb  0.3787  0.7162  0.5264
Pb  0.6213  0.4736  0.2838
Pb  0.8532  0.4517  0.8419
Pb  0.5000  0.0380  0.9620
Pb  0.1790  0.6932  0.9487
Pb  0.1468  0.1581  0.5483
Pb  0.8210  0.0513  0.3068
Hg  0.0000  0.7482  0.2518
Hg  0.5000  0.3441  0.6559
Sb  0.7182  0.8716  0.6921
Sb  0.2818  0.3079  0.1284

Summary:
formation energy from raw total energies: 67 meV/atom

***

Record 3
LiMg2Cr | PBE | relaxed

Unit cell a=5.3631 b=5.3631 c=5.3631 alpha=133.91 beta=133.91 gamma=67.24
Atoms (fractional coordinates):
Mg  0.0000  0.0000  0.0000
Mg  0.2500  0.7500  0.5000
Li  0.7500  0.2500  0.5000
Cr  0.5000  0.5000  0.0000

Summary:
energy relative to the elements: 269 meV per atom

***

Record 4
BaLi2Pr2Sn2 | PBE | relaxed

Unit cell a=5.0188 b=5.0188 c=10.3796 alpha=76.01 beta=76.01 gamma=60.00
Atoms (fractional coordinates):
Li  0.4194  0.4194  0.7417
Li  0.5806  0.5806  0.2583
Pr  0.1318  0.1318  0.6047
Pr  0.8682  0.8682  0.3953
Ba  0.0000  0.0000  0.0000
Sn  0.2512  0.2512  0.2465
Sn  0.7488  0.7488  0.7535

Summary:
energy relative to the elements: -496 meV per atom

***

Record 5
Ba2TaTl | PBE | relaxed

Unit cell a=5.6518 b=5.6518 c=7.7271 alpha=84.62 beta=84.62 gamma=35.17
Atoms (fractional coordinates):
Ba  0.9984  0.9984  0.9898
Ba  0.5016  0.5016  0.5102
Tl  0.2500  0.2500  0.2500
Ta  0.7500  0.7500  0.7500

Summary:
polymorph energy (0 for the lowest one): 329 meV/atom
energy relative to the elements: 868 meV per atom

***

Number 1: D(E_F) 1.027 states/eV per atom, E_tot -7.067 eV per atom. Number 2: D(E_F) 0.501 states/eV per atom, E_tot -3.098 eV per atom. Number 3: D(E_F) 0.433 states/eV per atom, E_tot -3.413 eV per atom. Number 4: D(E_F) 0.441 states/eV per atom, E_tot -3.826 eV per atom. Number 5: D(E_F) 1.297 states/eV per atom, E_tot -3.648 eV per atom.